1.
The following is a GGA-PBE calculation of a relaxed structure of Rb2PuF6, from Alexandria via LeMat-Bulk.

Cell: 6.5888 8.2567 8.0974 Å, 90.00 117.08 90.00°
Last column: nearest neighbours and their distance in Å.
Space group P2_1/c (No. 14)
Asymmetric unit:
Rb (0.1717, 0.0408, 0.3155) x4  7 F 2.86-3.06
Pu (0.5000, 0.0000, 0.0000) x2  6 F 2.15-2.17
F (0.2033, 0.1398, 0.9642) x4  1 Pu 2.17
F (0.2768, 0.7066, 0.4224) x4  1 Pu 2.15
F (0.4130, 0.0347, 0.7114) x4  1 Pu 2.16

## Properties
V	392	Å³/cell
density	4.5	g/cm3
calculated total energy	-6.292	eV per atom
spin magnetization	4.0	μB per formula unit

2.
The following is a GGA-PBE calculation of a relaxed structure of LiCuGe2Cl, from Alexandria via LeMat-Bulk.

Cell: 4.6793 4.6793 4.4499 Å, 90.00 90.00 90.00°
Last column: nearest neighbours and their distance in Å.
Space group P4/mmm (No. 123)
Asymmetric unit:
Li (0.0000, 0.0000, 0.0000) x1  2 Cu 2.22, 4 Ge 2.34
Cu (0.0000, 0.0000, 0.5000) x1  2 Li 2.22
Ge (0.0000, 0.5000, 0.0000) x2  2 Li 2.34
Cl (0.5000, 0.5000, 0.5000) x1  8 Ge 3.23, 4 Cu 3.31

## Properties
V	97	Å³/cell
density	4.3	g/cm3
calculated total energy	-2.936	eV per atom
spin magnetization	0.0	μB per formula unit

3.
The following is a GGA-PBE calculation of a relaxed structure of GaBi4Cl4, from Alexandria via LeMat-Bulk.

Cell: 18.3003 18.3003 13.5835 Å, 90.00 90.00 120.00°
Last column: nearest neighbours and their distance in Å.
Space group P6_3 (No. 173)
Asymmetric unit:
Ga (0.0000, 0.0000, 0.0000) x2  4 Cl 2.21
Ga (0.0589, 0.3594, 0.2155) x6  4 Cl 2.19-2.23
Ga (0.3333, 0.6667, 0.4367) x2  4 Cl 2.20-2.22
Ga (0.3333, 0.6667, 0.9027) x2  4 Cl 2.18-2.22
Bi (0.0213, 0.2021, 0.7547) x6  4 Bi 3.09-3.19
Bi (0.0440, 0.7318, 0.0862) x6  4 Bi 3.09-3.17
Bi (0.0479, 0.4719, 0.8519) x6  4 Bi 3.10-3.18
Bi (0.0531, 0.4653, 0.6240) x6  4 Bi 3.10-3.18
Bi (0.0529, 0.7242, 0.4027) x6  4 Bi 3.09-3.18
Bi (0.1179, 0.6572, 0.2355) x6  4 Bi 3.09-3.18
Bi (0.1450, 0.3740, 0.8658) x6  4 Bi 3.09-3.19
Bi (0.1510, 0.3682, 0.6390) x6  4 Bi 3.09-3.18
Cl (0.0000, 0.0000, 0.1629) x2  1 Ga 2.21
Cl (0.0311, 0.1262, 0.4461) x6  1 Ga 2.21
Cl (0.0385, 0.2367, 0.1646) x6  1 Ga 2.19
Cl (0.0677, 0.6514, 0.7276) x6  1 Ga 2.23
Cl (0.1180, 0.3945, 0.3618) x6  1 Ga 2.20
Cl (0.1369, 0.4592, 0.1099) x6  1 Ga 2.20
Cl (0.2144, 0.6568, 0.4909) x6  1 Ga 2.22
Cl (0.2160, 0.6602, 0.9579) x6  1 Ga 2.22
Cl (0.3333, 0.6667, 0.2750) x2  1 Ga 2.20
Cl (0.3333, 0.6667, 0.7425) x2  1 Ga 2.18

## Properties
V	3940	Å³/cell
density	5.3	g/cm3
calculated total energy	-3.535	eV per atom
spin magnetization	0.0	μB per formula unit

4.
The following is a GGA-PBE calculation of a relaxed structure of Y2SiRh, from Alexandria via LeMat-Bulk.

Cell: 4.0823 4.0823 10.0681 Å, 90.00 90.00 90.00°
Last column: nearest neighbours and their distance in Å.
Space group I-4m2 (No. 119)
Asymmetric unit:
Y (0.0000, 0.0000, 0.0000) x2  4 Si 2.89
Y (0.0000, 0.5000, 0.2500) x2  4 Rh 2.89
Si (0.0000, 0.0000, 0.5000) x2  4 Y 2.89
Rh (0.0000, 0.5000, 0.7500) x2  4 Y 2.89

## Properties
V	168	Å³/cell
density	6.1	g/cm3
calculated total energy	-6.979	eV per atom
spin magnetization	0.0	μB per formula unit

5.
The following is a GGA-PBE calculation of a relaxed structure of KCo2Tc, from Alexandria via LeMat-Bulk.

Cell: 2.5717 4.9003 5.1911 Å, 90.00 90.00 90.00°
Last column: nearest neighbours and their distance in Å.
Space group Pmmm (No. 47)
Asymmetric unit:
K (0.0000, 0.0000, 0.0000) x1  2 K 2.57, 4 Co 2.77
Co (0.0000, 0.5000, 0.5000) x1  2 Co 2.57, 4 Tc 2.77
Co (0.5000, 0.5000, 0.0000) x1  2 Co 2.57, 4 K 2.77
Tc (0.5000, 0.0000, 0.5000) x1  2 Tc 2.57, 4 Co 2.77

## Properties
ΔE_f	1474	meV/atom
V	65	Å³/cell
density	6.5	g/cm3
offset from the most stable computed form	786	meV per atom
spin magnetization	4.5	μB per formula unit

6.
The following is a GGA-PBE calculation of a relaxed structure of PmNd6Sm, from Alexandria via LeMat-Bulk.

Cell: 7.3697 10.3496 14.7188 Å, 90.00 90.00 90.00°
Last column: nearest neighbours and their distance in Å.
Space group Fmmm (No. 69)
Asymmetric unit:
Pm (0.0000, 0.0000, 0.0000) x4  10 Nd 3.67-3.68, 2 Sm 3.68
Nd (0.0000, 0.0000, 0.2499) x8  10 Nd 3.67-3.68, 1 Pm 3.68, 1 Sm 3.68
Nd (0.2500, 0.2500, 0.1244) x16  8 Nd 3.66-3.70, 2 Pm 3.67, 2 Sm 3.67
Sm (0.0000, 0.0000, 0.5000) x4  10 Nd 3.67-3.68, 2 Pm 3.68

## Properties
ΔE_f	14	meV/atom
V	1123	Å³/cell
density	6.9	g/cm3
spin magnetization	0.0	μB per formula unit

> spin magnetization of number 5 (KCo2Tc)?

4.5 μB per formula unit